[1]
# ReMo2H, relaxed, DFT PBE
# E above lowest polymorph	0.0	kJ/mol of formula units
# uncorrected energy	-111.333	eV per cell
data_ReMo2H
_cell_length_a 2.8372
_cell_length_b 2.8372
_cell_length_c 20.9798
_cell_angle_alpha 90.00
_cell_angle_beta 90.00
_cell_angle_gamma 120.00
_symmetry_space_group_name_H-M 'R -3 m'
_symmetry_Int_Tables_number 166
_symmetry_space_group_name_Hall '-R 3 2"'
loop_
_atom_site_label
_atom_site_type_symbol
_atom_site_fract_x
_atom_site_fract_y
_atom_site_fract_z
Re1 Re 0.0000 0.0000 0.0000
Mo1 Mo 0.0000 0.0000 0.2272
H1 H 0.0000 0.0000 0.5000

=====

[2]
# CePuCrN3, relaxed, DFT PBE
# uncorrected energy	-121.908	eV per cell
# ΔE_f (raw)	-1.0148	eV/atom
data_CePuCrN3
_cell_length_a 7.155
_cell_length_b 3.326
_cell_length_c 7.434
_cell_angle_alpha 90.00
_cell_angle_beta 99.43
_cell_angle_gamma 90.00
_symmetry_space_group_name_H-M 'P 1 21/m 1'
_symmetry_Int_Tables_number 11
loop_
_symmetry_equiv_pos_as_xyz
'x,y,z'
'-x,-y,-z'
'-x,y+1/2,-z'
'x,-y+1/2,z'
loop_
_atom_site_label
_atom_site_type_symbol
_atom_site_fract_x
_atom_site_fract_y
_atom_site_fract_z
Ce1 Ce 0.194 0.250 0.176
Pu1 Pu 0.183 0.250 0.640
Cr1 Cr 0.414 0.750 0.913
N1 N 0.135 0.750 0.414
N2 N 0.149 0.750 0.876
N3 N 0.465 0.750 0.174